DFT (PBE-GGA) results for a relaxed PuNi2Ru crystal.

a b c (Å): 4.4066 4.4066 4.4066
angles (deg): 60.00 60.00 60.00
With the nearest neighbours (Å) after each atom.
Atoms (fractional coordinates):
1 Ru 0.5000 0.5000 0.5000  8 Ni 2.70
2 Pu 0.0000 0.0000 0.0000  8 Ni 2.70
3 Ni 0.2500 0.2500 0.2501  4 Pu 2.70, 4 Ru 2.70
4 Ni 0.7500 0.7500 0.7499  4 Pu 2.70, 4 Ru 2.70

Values from the calculation:
- Spin magnetization: 3.54 Bohr magnetons per cell
- Energy of formation from the pure elements: 105 meV/atom
- Energy: -34.75 eV per cell